Entry from Alexandria via LeMat-Bulk: BeSiMo after structural relaxation (PBE-GGA).

Properties
Calculated total energy   -19.19 eV/cell
Offset from the most stable computed form   0.374 eV per atom
V   39.82 Å³ per cell
Formation energy from raw total energies   25 kJ per mole of atoms

Cell lengths 2.7642, 2.7642, 6.0171 Å; angles 90.00, 90.00, 120.00 degrees
Space group P3m1 (No. 156)
One atom of each set of equivalent atoms:
Be 0.0000 0.0000 0.0000 x1
Si 0.3333 0.6667 0.6907 x1
Mo 0.6667 0.3333 0.3357 x1